No. 1
DFT (GGA-PBE) results for YSi2Hg after structural relaxation.

Unit cell a=4.941 b=4.941 c=4.941 alpha=60.00 beta=60.00 gamma=60.00
Fractional positions:
1 Y 0.250 0.250 0.250
2 Si 0.750 0.750 0.750
3 Si 0.000 0.000 0.000
4 Hg 0.500 0.500 0.500

* DFT total energy: -4.30 eV/atom
* uncorrected formation energy: 0.40 eV/f.u.
* DOS at the Fermi energy: 2.680 states/eV/cell

---

No. 2
DFT (GGA-PBE) results for KScTlSn2 after structural relaxation.

Unit cell a=5.542 b=6.099 c=5.542 alpha=90.00 beta=90.00 gamma=90.00
Fractional positions:
1 Sc 0.000 0.000 0.000
2 Tl 0.500 0.500 0.500
3 Sn 0.500 0.000 0.000
4 Sn 0.000 0.000 0.500
5 K 0.000 0.500 0.000

* DFT total energy: -3.34 eV/atom
* DOS at the Fermi energy: 2.160 states/eV/cell
* formation enthalpy at 0 K: 219 meV/atom

---

No. 3
DFT (GGA-PBE) results for CdTcNi2 after structural relaxation.

Unit cell a=4.313 b=4.313 c=4.313 alpha=60.00 beta=60.00 gamma=60.00
Last column: magnetic moment on the atom in μB.
Fractional positions:
1 Ni 0.250 0.250 0.250  0.02
2 Tc 0.750 0.750 0.750  0.66
3 Cd 0.500 0.500 0.500  0.01
4 Ni 0.000 0.000 0.000  0.28

* DFT total energy: -5.24 eV/atom
* DOS at the Fermi energy: 6.021 states/eV/cell
* formation enthalpy at 0 K: 474 meV/atom